No. 1
Below is USnPd4 after structural relaxation, with properties calculated at the PBE level.

Computed properties:
The density comes out at 11.28 g/cm3. Its formation energy is -0.307 eV per atom. The total magnetic moment comes out at 2.0 μB/f.u. Its space-group type is No. 12. The energy above the most stable polymorph in this dataset comes out at 0.425 eV per formula unit.

abc: 5.747 5.560 7.727
angles: 90.00 90.00 68.91
Each line ends with the local moment (μB).
Element x y z (fractional)
Pd  0.242  0.010  0.058  -0.02
U  0.500  0.250  0.250  1.89
Pd  0.242  0.010  0.442  -0.02
Pd  0.758  0.990  0.558  -0.02
U  0.500  0.750  0.750  1.89
Pd  0.758  0.490  0.442  -0.02
Sn  0.000  0.250  0.750  0.02
Sn  0.000  0.750  0.250  0.02
Pd  0.242  0.510  0.942  -0.02
Pd  0.758  0.490  0.058  -0.02
Pd  0.758  0.990  0.942  -0.02
Pd  0.242  0.510  0.558  -0.02

---

No. 2
Below is USn4Pd7 after structural relaxation, with properties calculated at the PBE level.

Computed properties:
The density comes out at 10.21 g/cm3. Its formation energy is -0.351 eV per atom. The total magnetic moment comes out at 2.3 μB/f.u. Its space-group type is No. 12.

abc: 5.037 8.634 6.231
angles: 82.31 66.16 73.04
Each line ends with the local moment (μB).
Element x y z (fractional)
Pd  0.643  0.463  0.251  0.01
Sn  0.740  0.665  0.855  0.00
Sn  0.260  0.335  0.145  0.00
Pd  0.500  0.000  0.000  -0.04
Pd  0.779  0.907  0.534  0.00
Pd  0.357  0.537  0.749  0.01
U  0.000  0.000  0.000  2.18
Sn  0.591  0.226  0.592  -0.01
Sn  0.409  0.774  0.408  -0.01
Pd  0.221  0.093  0.466  0.00
Pd  0.933  0.322  0.813  -0.02
Pd  0.067  0.678  0.187  -0.02

---

No. 3
Below is U2SnPd9 after structural relaxation, with properties calculated at the PBE level.

Computed properties:
The density comes out at 12.36 g/cm3. Its formation energy is -0.514 eV per atom. The total magnetic moment comes out at 3.8 μB/f.u. Its space-group type is No. 123.

abc: 4.124 4.124 12.258
angles: 90.00 90.00 90.00
Each line ends with the local moment (μB).
Element x y z (fractional)
Pd  0.500  0.000  0.165  -0.02
Pd  0.500  0.500  0.000  -0.01
U  0.000  0.000  0.329  1.89
Sn  0.000  0.000  0.000  0.00
Pd  0.500  0.000  0.500  -0.02
Pd  0.500  0.500  0.331  -0.02
Pd  0.500  0.000  0.835  -0.02
U  0.000  0.000  0.671  1.89
Pd  0.000  0.500  0.165  -0.02
Pd  0.500  0.500  0.669  -0.02
Pd  0.000  0.500  0.835  -0.02
Pd  0.000  0.500  0.500  -0.02

---

No. 4
Below is USn2Pd after structural relaxation, with properties calculated at the PBE level.

Computed properties:
The density comes out at 10.70 g/cm3. Its formation energy is -0.190 eV per atom. The total magnetic moment comes out at 2.5 μB/f.u. Its space-group type is No. 123.

abc: 4.431 4.514 4.514
angles: 90.00 90.00 90.00
Each line ends with the local moment (μB).
Element x y z (fractional)
Pd  0.500  0.000  0.000  0.02
Sn  0.000  0.000  0.500  0.01
U  0.500  0.500  0.500  2.24
Sn  0.000  0.500  0.000  0.01

---

No. 5
Below is USnPd6 after structural relaxation, with properties calculated at the PBE level.

Computed properties:
The density comes out at 12.06 g/cm3. Its formation energy is -0.515 eV per atom. The total magnetic moment comes out at 1.7 μB/f.u. Its space-group type is No. 123. The energy above the most stable polymorph in this dataset comes out at 0.000 eV per formula unit.

abc: 4.104 4.104 8.138
angles: 90.00 90.00 90.00
Each line ends with the local moment (μB).
Element x y z (fractional)
Pd  0.000  0.500  0.250  -0.02
Pd  0.000  0.500  0.750  -0.02
Pd  0.500  0.500  0.500  -0.03
U  0.000  0.000  0.500  1.70
Pd  0.500  0.500  0.000  -0.01
Sn  0.000  0.000  0.000  0.00
Pd  0.500  0.000  0.750  -0.02
Pd  0.500  0.000  0.250  -0.02

---

No. 6
Below is USnPd14 after structural relaxation, with properties calculated at the PBE level.

Computed properties:
The density comes out at 11.87 g/cm3. Its formation energy is -0.310 eV per atom. The total magnetic moment comes out at 0.0 μB/f.u. Its space-group type is No. 123.

abc: 5.772 5.772 7.753
angles: 90.00 90.00 90.00
Element x y z (fractional)
Pd  0.623  0.623  0.749
Pd  0.875  0.375  0.500
Pd  0.623  0.127  0.749
Pd  0.127  0.127  0.749
Pd  0.875  0.375  0.000
Pd  0.375  0.875  0.000
Pd  0.623  0.127  0.251
Pd  0.127  0.623  0.251
U  0.375  0.375  0.500
Pd  0.623  0.623  0.251
Pd  0.375  0.375  0.000
Pd  0.375  0.875  0.500
Pd  0.875  0.875  0.000
Pd  0.127  0.127  0.251
Pd  0.127  0.623  0.749
Sn  0.875  0.875  0.500

---

No. 7
Below is USnPd2 after structural relaxation, with properties calculated at the PBE level.

Computed properties:
The density comes out at 11.71 g/cm3. Its formation energy is -0.421 eV per atom. The total magnetic moment comes out at 2.1 μB/f.u. Its space-group type is No. 11.

abc: 5.072 4.680 6.852
angles: 90.00 96.62 90.00
Each line ends with the local moment (μB).
Element x y z (fractional)
Pd  0.320  0.250  0.967  -0.05
Pd  0.698  0.750  0.515  -0.06
U  0.207  0.750  0.227  2.12
Sn  0.239  0.750  0.723  -0.03
Sn  0.761  0.250  0.277  -0.03
Pd  0.302  0.250  0.485  -0.06
U  0.793  0.250  0.773  2.12
Pd  0.680  0.750  0.033  -0.05

---

No. 8
Below is USnPd3 after structural relaxation, with properties calculated at the PBE level.

Computed properties:
The density comes out at 11.76 g/cm3. Its formation energy is -0.395 eV per atom. The total magnetic moment comes out at 2.0 μB/f.u. Its space-group type is No. 12.

abc: 4.753 5.674 8.426
angles: 69.65 73.62 65.24
Each line ends with the local moment (μB).
Element x y z (fractional)
Pd  0.637  0.805  0.921  -0.01
Pd  0.200  0.882  0.717  -0.01
Pd  0.144  0.311  0.401  0.01
Pd  0.800  0.118  0.283  -0.01
Pd  0.363  0.195  0.079  -0.01
U  0.443  0.733  0.381  1.97
Pd  0.856  0.689  0.599  0.01
Sn  0.900  0.299  0.902  -0.01
U  0.557  0.267  0.619  1.97
Sn  0.100  0.701  0.098  -0.01

---

No. 9
Below is USnPd6 after structural relaxation, with properties calculated at the PBE level.

Computed properties:
The density comes out at 9.51 g/cm3. Its formation energy is -0.070 eV per atom. The total magnetic moment comes out at 1.0 μB/f.u. Its space-group type is No. 166. The energy above the most stable polymorph in this dataset comes out at 3.556 eV per formula unit.

abc: 5.396 5.396 7.561
angles: 69.09 69.09 60.00
Each line ends with the local moment (μB).
Element x y z (fractional)
Pd  0.931  0.931  0.700  -0.04
Sn  0.500  0.500  0.500  -0.01
Pd  0.069  0.069  0.300  -0.04
U  0.000  0.000  0.000  1.18
Pd  0.438  0.931  0.700  -0.04
Pd  0.069  0.562  0.300  -0.04
Pd  0.562  0.069  0.300  -0.04
Pd  0.931  0.438  0.700  -0.04

---

No. 10
Below is U4SnPd15 after structural relaxation, with properties calculated at the PBE level.

Computed properties:
The density comes out at 12.59 g/cm3. Its formation energy is -0.509 eV per atom. The total magnetic moment comes out at 8.0 μB/f.u. Its space-group type is No. 123.

abc: 4.134 4.134 20.572
angles: 90.00 90.00 90.00
Each line ends with the local moment (μB).
Element x y z (fractional)
Pd  0.000  0.500  0.098  -0.02
Pd  0.000  0.500  0.500  -0.02
Pd  0.500  0.500  0.803  -0.02
Pd  0.500  0.000  0.298  -0.02
Pd  0.000  0.500  0.702  -0.02
Sn  0.000  0.000  0.000  0.00
Pd  0.000  0.500  0.298  -0.02
U  0.000  0.000  0.805  1.91
Pd  0.500  0.000  0.702  -0.02
Pd  0.500  0.500  0.000  -0.02
Pd  0.500  0.500  0.197  -0.02
Pd  0.000  0.500  0.902  -0.02
Pd  0.500  0.000  0.098  -0.02
Pd  0.500  0.000  0.500  -0.02
Pd  0.500  0.000  0.902  -0.02
U  0.000  0.000  0.398  2.06
Pd  0.500  0.500  0.399  -0.01
Pd  0.500  0.500  0.601  -0.01
U  0.000  0.000  0.602  2.06
U  0.000  0.000  0.195  1.91

---

No. 11
Below is USnPd2 after structural relaxation, with properties calculated at the PBE level.

Computed properties:
The density comes out at 12.16 g/cm3. Its formation energy is -0.268 eV per atom. The total magnetic moment comes out at 0.0 μB/f.u. Its space-group type is No. 123.

abc: 3.213 3.213 7.538
angles: 90.00 90.00 90.00
Element x y z (fractional)
Pd  0.000  0.000  0.252
Sn  0.500  0.500  0.000
U  0.500  0.500  0.500
Pd  0.000  0.000  0.748